1.
A relaxed LiW2 crystal. Source: the Alexandria database, functional PBE-GGA.

Output
- calculated formation energy (eV/f.u.) = 1.5
- offset from the most stable computed form (meV per atom) = 140
- total moment (Bohr magnetons per cell) = 0.00
- N(E_F) (states/eV/f.u.) = 2.3

Structure (CIF):
```
data_LiW2
_chemical_formula_sum 'Li4 W8'
_cell_length_a 10.886
_cell_length_b 2.605
_cell_length_c 6.935
_cell_angle_alpha 90.00
_cell_angle_beta 104.97
_cell_angle_gamma 90.00
_space_group_name_H-M_alt 'C 1 m 1'
_space_group_IT_number 8
loop_
_space_group_symop_operation_xyz
'x,y,z'
'x,-y,z'
'x+1/2,y+1/2,z'
'x+1/2,-y+1/2,z'
loop_
_atom_site_label
_atom_site_type_symbol
_atom_site_fract_x
_atom_site_fract_y
_atom_site_fract_z
Li1 Li 0.000 0.000 0.000
Li2 Li 0.158 0.500 0.322
W1 W 0.092 0.500 0.689
W2 W 0.266 0.000 0.017
W3 W 0.329 0.000 0.667
W4 W 0.419 0.500 0.363
```

---

2.
A relaxed MnZn3Au6 crystal. Source: the Alexandria database, functional PBE-GGA.

Output
- calculated formation energy (eV/f.u.) = -0.5
- offset from the most stable computed form (meV per atom) = 87
- total moment (Bohr magnetons per cell) = 9.06
- N(E_F) (states/eV/f.u.) = 3.2

Structure (CIF):
```
data_MnZn3Au6
_chemical_formula_sum 'Mn2 Zn6 Au12'
_cell_length_a 8.988
_cell_length_b 5.504
_cell_length_c 8.189
_cell_angle_alpha 90.00
_cell_angle_beta 116.66
_cell_angle_gamma 90.00
_space_group_name_H-M_alt 'C 1 2/m 1'
_space_group_IT_number 12
loop_
_space_group_symop_operation_xyz
'x,y,z'
'-x,-y,-z'
'-x,y,-z'
'x,-y,z'
'x+1/2,y+1/2,z'
'-x+1/2,-y+1/2,-z'
'-x+1/2,y+1/2,-z'
'x+1/2,-y+1/2,z'
loop_
_atom_site_label
_atom_site_type_symbol
_atom_site_fract_x
_atom_site_fract_y
_atom_site_fract_z
Mn1 Mn 0.000 0.000 0.000
Zn1 Zn 0.000 0.500 0.500
Zn2 Zn 0.125 0.500 0.249
Au1 Au 0.150 0.248 0.809
Au2 Au 0.172 0.000 0.384
```

---

3.
A relaxed BeInBr crystal. Source: the Alexandria database, functional PBE-GGA.

Output
- offset from the most stable computed form (meV per atom) = 0
- total moment (Bohr magnetons per cell) = 0.00
- N(E_F) (states/eV/f.u.) = 0.7
- E_form (uncorrected) (eV/atom) = 0.04

Structure (CIF):
```
data_BeInBr
_chemical_formula_sum 'Be1 In1 Br1'
_cell_length_a 3.3656
_cell_length_b 3.3656
_cell_length_c 7.8691
_cell_angle_alpha 90.00
_cell_angle_beta 90.00
_cell_angle_gamma 120.00
_space_group_name_H-M_alt 'P 3 m 1'
_space_group_IT_number 156
loop_
_space_group_symop_operation_xyz
'x,y,z'
'-y,x-y,z'
'-x+y,-x,z'
'-y,-x,z'
'-x+y,y,z'
'x,x-y,z'
loop_
_atom_site_label
_atom_site_type_symbol
_atom_site_fract_x
_atom_site_fract_y
_atom_site_fract_z
Be1 Be 0.0000 0.0000 0.0000
In1 In 0.3333 0.6667 0.7296
Br1 Br 0.6667 0.3333 0.1633
```

---

4.
A relaxed Mg4TaW crystal. Source: the Alexandria database, functional PBE-GGA.

Output
- calculated formation energy (eV/f.u.) = 3.7
- total moment (Bohr magnetons per cell) = 0.00
- N(E_F) (states/eV/f.u.) = 4.1

Structure (CIF):
```
data_Mg4TaW
_chemical_formula_sum 'Mg16 Ta4 W4'
_cell_length_a 7.567
_cell_length_b 7.567
_cell_length_c 7.567
_cell_angle_alpha 90.00
_cell_angle_beta 90.00
_cell_angle_gamma 90.00
_space_group_name_H-M_alt 'F -4 3 m'
_space_group_IT_number 216
_space_group_name_Hall 'F -4 2 3'
loop_
_atom_site_label
_atom_site_type_symbol
_atom_site_fract_x
_atom_site_fract_y
_atom_site_fract_z
Mg1 Mg 0.125 0.125 0.125
Ta1 Ta 0.250 0.250 0.750
W1 W 0.000 0.000 0.500
```

---

5.
A relaxed TaAs2Ir crystal. Source: the Alexandria database, functional PBE-GGA.

Output
- calculated formation energy (eV/f.u.) = 0.9
- offset from the most stable computed form (meV per atom) = 450
- total moment (Bohr magnetons per cell) = 0.00
- N(E_F) (states/eV/f.u.) = 3.2

Structure (CIF):
```
data_TaAs2Ir
_chemical_formula_sum 'Ta4 As8 Ir4'
_cell_length_a 6.468
_cell_length_b 6.468
_cell_length_c 6.468
_cell_angle_alpha 90.00
_cell_angle_beta 90.00
_cell_angle_gamma 90.00
_space_group_name_H-M_alt 'F -4 3 m'
_space_group_IT_number 216
_space_group_name_Hall 'F -4 2 3'
loop_
_atom_site_label
_atom_site_type_symbol
_atom_site_fract_x
_atom_site_fract_y
_atom_site_fract_z
Ta1 Ta 0.000 0.000 0.000
As1 As 0.000 0.000 0.500
As2 As 0.250 0.250 0.250
Ir1 Ir 0.250 0.250 0.750
```

---

6.
A relaxed PaIrN crystal. Source: the Alexandria database, functional PBE-GGA.

Output
- offset from the most stable computed form (meV per atom) = 0
- total moment (Bohr magnetons per cell) = 0.00
- N(E_F) (states/eV/f.u.) = 2.7
- E_form (uncorrected) (eV/atom) = -0.93

Structure (CIF):
```
data_PaIrN
_chemical_formula_sum 'Pa6 Ir6 N6'
_cell_length_a 3.8542
_cell_length_b 3.8542
_cell_length_c 24.6972
_cell_angle_alpha 90.00
_cell_angle_beta 90.00
_cell_angle_gamma 120.00
_space_group_name_H-M_alt 'R -3 m'
_space_group_IT_number 166
_space_group_name_Hall '-R 3 2"'
loop_
_atom_site_label
_atom_site_type_symbol
_atom_site_fract_x
_atom_site_fract_y
_atom_site_fract_z
Pa1 Pa 0.0000 0.0000 0.2268
Ir1 Ir 0.0000 0.0000 0.3558
N1 N 0.0000 0.0000 0.1330
```

---

Which formula does entry 4 have?
Mg4TaW

---

The highest N(E_F) belongs to which entry?
Mg4TaW

---

Among the records above, which one has the lowest N(E_F)?
BeInBr

---

What is the N(E_F) in the second record?
3.2 states/eV/f.u.